Tl2GaCl4 | PBE | relaxed

Summary:
Offset from the most stable computed form: 0.000 eV per atom
Uncorrected formation energy: -0.9449 eV/atom
Energy: -3.11 eV per atom

a = 5.058 Å, b = 5.058 Å, c = 16.238 Å
α = 90.00°, β = 90.00°, γ = 90.00°
Space group I4/mmm (No. 139)
Unique sites:
Tl  0.000  0.000  0.146 (multiplicity 4)
Ga  0.000  0.000  0.500 (multiplicity 2)
Cl  0.000  0.000  0.337 (multiplicity 4)
Cl  0.000  0.500  0.000 (multiplicity 4)